Record 1
Material: AcBrO
Method: DFT, GGA-PBE
State: optimized geometry

## Properties
crystal system = hexagonal
total energy = -19.076 eV for the cell shown
E_form (uncorrected) = -2779 meV/atom
energy above the most stable polymorph in this dataset = 199 meV per atom

Cell lengths 4.1528, 4.1528, 5.0527 Å; angles 90.00, 90.00, 120.00 degrees
Closest atoms and distances in Å follow each position.
Space group P-6m2 (No. 187)
Inequivalent atoms, fractional coordinates:
Ac 0.0000 0.0000 0.0000 (multiplicity 1)  3 O 2.40
Br 0.6667 0.3333 0.5000 (multiplicity 1)  6 Ac 3.48, 6 O 3.48
O 0.3333 0.6667 0.0000 (multiplicity 1)  3 Ac 2.40

Record 2
Material: AcBrO
Method: DFT, GGA-PBE
State: optimized geometry

## Properties
crystal system = cubic
total energy = -68.085 eV for the cell shown
E_form (uncorrected) = -2094 meV/atom
energy above the most stable polymorph in this dataset = 884 meV per atom

Cell lengths 6.7759, 6.7759, 6.7759 Å; angles 90.00, 90.00, 90.00 degrees
Closest atoms and distances in Å follow each position.
Space group F-43m (No. 216)
Inequivalent atoms, fractional coordinates:
Ac 0.0000 0.0000 0.0000 (multiplicity 4)  4 O 2.93, 4 Br 2.93
Br 0.2500 0.2500 0.7500 (multiplicity 4)  4 Ac 2.93
O 0.2500 0.2500 0.2500 (multiplicity 4)  4 Ac 2.93

Record 3
Material: Ac3BrO4
Method: DFT, GGA-PBE
State: optimized geometry

## Properties
crystal system = tetragonal
total energy = -59.312 eV for the cell shown
E_form (uncorrected) = -3185 meV/atom

Cell lengths 4.2474, 4.2474, 9.9800 Å; angles 90.00, 90.00, 90.00 degrees
Closest atoms and distances in Å follow each position.
Space group P4/mmm (No. 123)
Inequivalent atoms, fractional coordinates:
Ac 0.0000 0.0000 0.0000 (multiplicity 1)  8 O 2.63
Ac 0.5000 0.5000 0.2655 (multiplicity 2)  4 O 2.39
Br 0.0000 0.0000 0.5000 (multiplicity 1)  8 Ac 3.81, 8 O 4.04, 4 Br 4.25
O 0.0000 0.5000 0.1560 (multiplicity 4)  4 Ac 2.39-2.63